Entry from the Alexandria database: a PBEsol-optimized structure of MgS2N2 (SCAN).

Lattice parameters (Å, degrees): 3.3964 3.3964 6.2464 90.00 90.00 90.00
Last column: nearest neighbours and their distance in Å.
Sites, in units of the cell vectors:
S (0.0000, 0.0000, 0.0000)  4 N 1.70
S (0.0000, 0.0000, 0.5000)  4 Mg 2.40
Mg (0.5000, 0.5000, 0.5000)  4 S 2.40
N (0.0000, 0.5000, 0.0000)  2 S 1.70
N (0.5000, 0.0000, 0.0000)  2 S 1.70

Results
formation energy without anion corrections = 0.778 eV/atom
magnetization = 0.0 μB/f.u.
V = 14.41 A^3/atom